No. 1
Here is a relaxed structure of Pa4Te2AsOs from Alexandria via LeMat-Bulk. Energies are from PBE.

```
Pa4Te2AsOs
1.0
-2.0689 -0.2440 3.4782
-4.4338 -4.9907 -2.9875
5.7526 -3.6472 3.1659
Pa Te As Os
4 2 1 1
direct
0.5000 0.2493 0.2163
0.5000 0.7507 0.7837
0.0000 0.2766 0.7934
0.0000 0.7234 0.2066
0.5000 0.0000 0.5000
0.0000 0.5000 0.5000
0.0000 0.0000 0.0000
0.5000 0.5000 0.0000
```

Values from the calculation:
* symmetry: P2/m, No. 10
* raw formation energy: -720.6 meV per atom

=====

No. 2
Here is a relaxed structure of As3OsPb from Alexandria via LeMat-Bulk. Energies are from PBE.

```
As3OsPb
1.0
-1.4730 1.4452 -4.4358
-4.6296 0.1215 1.5769
0.5760 4.6724 1.3310
Pb As Os
1 3 1
direct
0.5000 0.5000 0.5000
0.0000 0.5000 0.0000
0.0000 0.0000 0.5000
0.5000 0.0000 0.0000
0.0000 0.0000 0.0000
```

Values from the calculation:
* symmetry: Pm-3m, No. 221
* relative energy among the computed polymorphs: 0.000 eV per atom
* ΔH_f (0 K): 2.78 eV/f.u.

=====

No. 3
Here is a relaxed structure of AsOsPb from Alexandria via LeMat-Bulk. Energies are from PBE.

```
AsOsPb
1.0
-2.4291 2.1298 -0.7682
-0.7082 -2.8141 1.6142
0.9015 3.1538 5.8936
Pb As Os
1 1 1
direct
0.3333 0.6667 0.6347
0.0000 0.0000 0.0690
0.6667 0.3333 0.2962
```

Values from the calculation:
* symmetry: P3m1, No. 156
* relative energy among the computed polymorphs: 0.118 eV per atom
* ΔH_f (0 K): 1.13 eV/f.u.

=====

No. 4
Here is a relaxed structure of As2OsPb from Alexandria via LeMat-Bulk. Energies are from PBE.

```
As2OsPb
1.0
4.8936 -0.0083 -0.0020
-1.4903 4.6612 -0.0020
0.0010 0.0014 3.4052
Pb As Os
1 2 1
direct
0.0000 0.5000 0.5000
0.0000 0.0000 0.0000
0.5000 0.5000 0.0000
0.5000 0.0000 0.5000
```

Values from the calculation:
* symmetry: Cmmm, No. 65
* ΔH_f (0 K): 3.28 eV/f.u.

=====

No. 5
Here is a relaxed structure of As2OsPb from Alexandria via LeMat-Bulk. Energies are from PBE.

```
As2OsPb
1.0
-3.0756 0.3019 -1.4487
-0.5161 -4.5345 0.1507
-2.0843 0.3869 4.5057
Pb As Os
1 2 1
direct
0.0000 0.5000 0.5000
0.0000 0.0000 0.0000
0.5000 0.5000 0.0000
0.5000 0.0000 0.5000
```

Values from the calculation:
* symmetry: Pmmm, No. 47
* ΔH_f (0 K): 3.48 eV/f.u.

=====

No. 6
Here is a relaxed structure of As2OsPb from Alexandria via LeMat-Bulk. Energies are from PBE.

```
As2OsPb
1.0
3.2345 0.0000 0.0000
0.0000 3.2345 0.0000
0.0000 0.0000 7.7327
Pb As Os
1 2 1
direct
0.5000 0.5000 0.7124
0.0000 0.0000 0.0723
0.5000 0.5000 0.2781
0.0000 0.0000 0.4372
```

Values from the calculation:
* symmetry: P4mm, No. 99
* ΔH_f (0 K): 1.62 eV/f.u.

=====

No. 7
Here is a relaxed structure of As2OsPb from Alexandria via LeMat-Bulk. Energies are from PBE.

```
As2OsPb
1.0
-2.5477 1.4304 -0.9658
1.6379 -1.5396 -2.1016
-5.2923 -8.1698 1.8605
Pb As Os
1 2 1
direct
0.5000 0.5000 0.7297
0.0000 0.0000 0.0095
0.5000 0.5000 0.2898
0.0000 0.0000 0.4710
```

Values from the calculation:
* symmetry: Cmm2, No. 35
* ΔH_f (0 K): 2.57 eV/f.u.

=====

No. 8
Here is a relaxed structure of As2OsPb from Alexandria via LeMat-Bulk. Energies are from PBE.

```
As2OsPb
1.0
-0.8527 4.1555 1.4487
-1.1302 1.7587 3.9653
5.6047 2.1902 2.7041
Pb As Os
1 2 1
direct
0.1816 0.1816 0.2563
0.9705 0.9705 0.9550
0.8286 0.8286 0.6097
0.5194 0.5194 0.6790
```

Values from the calculation:
* symmetry: Cm, No. 8
* ΔH_f (0 K): 0.70 eV/f.u.